No. 1
First-principles (meta-GGA SCAN) data for a crystal of CaIr2Rh relaxed with PBEsol, as listed in the Alexandria database.

It has space group Cm (No. 8), with a = 9.2783 Å, b = 2.7769 Å, c = 5.0399 Å, α = 90.00°, β = 100.08° and γ = 90.00°. The inequivalent atoms are Ca at (0.0000, 0.0000, 0.0000), Ir at (0.2387, 0.0000, 0.6723), Ir at (0.4991, 0.0000, 0.5115) and Rh at (0.2603, 0.5000, 0.2479).

The calculation puts the calculated formation energy at -0.0588 eV per atom. Its total DFT energy (no corrections) is -1.7076 hartree per atom. The excess energy over the best structure of this formula in the dataset comes out at 0.000 eV per atom. As for the theoretical density: 13.70 g cm⁻³.



No. 2
First-principles (meta-GGA SCAN) data for a crystal of Ca2IrRh relaxed with PBEsol, as listed in the Alexandria database.

It has space group P4mm (No. 99), with a = 3.4466 Å, b = 3.4466 Å, c = 8.0519 Å, α = 90.00°, β = 90.00° and γ = 90.00°. The inequivalent atoms are Ca at (0.0000, 0.0000, 0.0000), Ca at (0.5000, 0.5000, 0.4115), Ir at (0.0000, 0.0000, 0.6544) and Rh at (0.5000, 0.5000, 0.7543).

The calculation puts the calculated formation energy at -0.0310 eV per atom. Its total DFT energy (no corrections) is -1.1422 hartree per atom. As for the theoretical density: 6.52 g cm⁻³.



No. 3
First-principles (meta-GGA SCAN) data for a crystal of Ca2IrRh relaxed with PBEsol, as listed in the Alexandria database.

It has space group Pmm2 (No. 25), with a = 2.9748 Å, b = 4.3650 Å, c = 5.9067 Å, α = 90.00°, β = 90.00° and γ = 90.00°. The inequivalent atoms are Ca at (0.0000, 0.0000, 0.0000), Ca at (0.5000, 0.5000, 0.3412), Ir at (0.0000, 0.0000, 0.5489) and Rh at (0.5000, 0.5000, 0.7853).

The calculation puts the calculated formation energy at 0.1075 eV per atom. Its total DFT energy (no corrections) is -1.1371 hartree per atom. As for the theoretical density: 8.12 g cm⁻³.